(1)
DFT (PBE) results for crystalline Al4TcW at its relaxed geometry.

Output
Its space group is F-43m (216). For the energy of formation from the pure elements, the calculation gives 0.10 eV/atom. As for the total DFT energy (no corrections): -6.278 eV per atom. As for the density of states at the Fermi level: 6.39 states/eV/f.u.

```
data_Al4TcW
_chemical_formula_sum 'Al4 Tc1 W1'
_symmetry_space_group_name_H-M 'P 1'
_symmetry_Int_Tables_number 1
_symmetry_space_group_name_Hall 'P 1'
_cell_length_a 4.987
_cell_length_b 4.987
_cell_length_c 4.987
_cell_angle_alpha 60.00
_cell_angle_beta 60.00
_cell_angle_gamma 60.00
loop_
_atom_site_label
_atom_site_type_symbol
_atom_site_fract_x
_atom_site_fract_y
_atom_site_fract_z
Al1 Al 0.375 0.875 0.375
Al2 Al 0.375 0.375 0.875
Al3 Al 0.875 0.375 0.375
Al4 Al 0.375 0.375 0.375
Tc1 Tc 0.750 0.750 0.750
W1 W 0.000 0.000 0.000
```

---

(2)
DFT (PBE) results for crystalline CaHoTlBi at its relaxed geometry.

Output
Its space group is F-43m (216). For the energy of formation from the pure elements, the calculation gives -0.44 eV/atom. As for the total DFT energy (no corrections): -3.645 eV per atom. As for the density of states at the Fermi level: 3.43 states/eV/f.u.

```
data_CaHoTlBi
_chemical_formula_sum 'Ca1 Ho1 Tl1 Bi1'
_symmetry_space_group_name_H-M 'P 1'
_symmetry_Int_Tables_number 1
_symmetry_space_group_name_Hall 'P 1'
_cell_length_a 5.495
_cell_length_b 5.495
_cell_length_c 5.495
_cell_angle_alpha 60.00
_cell_angle_beta 60.00
_cell_angle_gamma 60.00
loop_
_atom_site_label
_atom_site_type_symbol
_atom_site_fract_x
_atom_site_fract_y
_atom_site_fract_z
Ho1 Ho 0.000 0.000 0.000
Tl1 Tl 0.750 0.750 0.750
Ca1 Ca 0.500 0.500 0.500
Bi1 Bi 0.250 0.250 0.250
```

---

(3)
DFT (PBE) results for crystalline CeDy2Tm12 at its relaxed geometry.

Output
Its space group is P2/m (10). For the energy of formation from the pure elements, the calculation gives 0.12 eV/atom. As for the total DFT energy (no corrections): -4.467 eV per atom. As for the density of states at the Fermi level: 26.84 states/eV/f.u.

```
data_CeDy2Tm12
_chemical_formula_sum 'Ce2 Dy4 Tm24'
_symmetry_space_group_name_H-M 'P 1'
_symmetry_Int_Tables_number 1
_symmetry_space_group_name_Hall 'P 1'
_cell_length_a 6.552
_cell_length_b 6.552
_cell_length_c 24.354
_cell_angle_alpha 96.78
_cell_angle_beta 96.78
_cell_angle_gamma 115.18
loop_
_atom_site_label
_atom_site_type_symbol
_atom_site_fract_x
_atom_site_fract_y
_atom_site_fract_z
Tm1 Tm 0.949 0.949 0.933
Tm2 Tm 0.684 0.184 0.577
Tm3 Tm 0.397 0.397 0.193
Tm4 Tm 0.816 0.316 0.423
Tm5 Tm 0.495 0.495 0.330
Tm6 Tm 0.185 0.685 0.577
Tm7 Tm 0.449 0.449 0.933
Tm8 Tm 0.505 0.505 0.670
Tm9 Tm 0.103 0.103 0.807
Tm10 Tm 0.668 0.667 0.555
Tm11 Tm 0.897 0.897 0.193
Tm12 Tm 0.355 0.855 0.137
Tm13 Tm 0.832 0.833 0.445
Tm14 Tm 0.995 0.995 0.330
Tm15 Tm 0.315 0.815 0.423
Tm16 Tm 0.005 0.005 0.670
Tm17 Tm 0.051 0.051 0.067
Tm18 Tm 0.603 0.603 0.807
Tm19 Tm 0.333 0.332 0.445
Tm20 Tm 0.167 0.168 0.555
Tm21 Tm 0.646 0.146 0.864
Tm22 Tm 0.551 0.551 0.067
Tm23 Tm 0.854 0.354 0.136
Tm24 Tm 0.145 0.645 0.863
Ce1 Ce 0.500 0.000 0.000
Ce2 Ce 0.000 0.500 0.000
Dy1 Dy 0.958 0.458 0.281
Dy2 Dy 0.042 0.542 0.719
Dy3 Dy 0.542 0.042 0.719
Dy4 Dy 0.458 0.958 0.281
```

---

(4)
DFT (PBE) results for crystalline CaAlF2 at its relaxed geometry.

Output
Its space group is I-42d (122). For the uncorrected formation energy, the calculation gives -2142.1 meV/atom. As for the total DFT energy (no corrections): -4.514 eV per atom. As for the density of states at the Fermi level: 1.48 states/eV/f.u.

```
data_CaAlF2
_chemical_formula_sum 'Ca2 Al2 F4'
_symmetry_space_group_name_H-M 'P 1'
_symmetry_Int_Tables_number 1
_symmetry_space_group_name_Hall 'P 1'
_cell_length_a 6.887
_cell_length_b 6.887
_cell_length_c 6.887
_cell_angle_alpha 128.80
_cell_angle_beta 128.80
_cell_angle_gamma 75.33
loop_
_atom_site_label
_atom_site_type_symbol
_atom_site_fract_x
_atom_site_fract_y
_atom_site_fract_z
F1 F 0.007 0.625 0.882
F2 F 0.743 0.125 0.118
F3 F 0.875 0.993 0.618
F4 F 0.375 0.257 0.382
Al1 Al 0.500 0.500 0.000
Al2 Al 0.250 0.750 0.500
Ca1 Ca 0.000 0.000 0.000
Ca2 Ca 0.750 0.250 0.500
```

---

(5)
DFT (PBE) results for crystalline Si3Cl at its relaxed geometry.

Output
Its space group is Fm-3m (225). For the uncorrected formation energy, the calculation gives 554.4 meV/atom. As for the total DFT energy (no corrections): -3.975 eV per atom. As for the density of states at the Fermi level: 1.76 states/eV/f.u.

```
data_Si3Cl
_chemical_formula_sum 'Si3 Cl1'
_symmetry_space_group_name_H-M 'P 1'
_symmetry_Int_Tables_number 1
_symmetry_space_group_name_Hall 'P 1'
_cell_length_a 4.525
_cell_length_b 4.525
_cell_length_c 4.525
_cell_angle_alpha 120.04
_cell_angle_beta 120.04
_cell_angle_gamma 89.93
loop_
_atom_site_label
_atom_site_type_symbol
_atom_site_fract_x
_atom_site_fract_y
_atom_site_fract_z
Si1 Si 0.750 0.250 0.500
Si2 Si 0.500 0.500 0.000
Si3 Si 0.250 0.750 0.500
Cl1 Cl 0.000 0.000 0.000
```

---

(6)
DFT (PBE) results for crystalline KNiP at its relaxed geometry.

Output
Its space group is F-43m (216). For the energy of formation from the pure elements, the calculation gives 0.67 eV/atom. As for the total DFT energy (no corrections): -3.428 eV per atom. As for the density of states at the Fermi level: 3.25 states/eV/f.u.

```
data_KNiP
_chemical_formula_sum 'K1 Ni1 P1'
_symmetry_space_group_name_H-M 'P 1'
_symmetry_Int_Tables_number 1
_symmetry_space_group_name_Hall 'P 1'
_cell_length_a 4.592
_cell_length_b 4.592
_cell_length_c 4.592
_cell_angle_alpha 60.00
_cell_angle_beta 60.00
_cell_angle_gamma 60.00
loop_
_atom_site_label
_atom_site_type_symbol
_atom_site_fract_x
_atom_site_fract_y
_atom_site_fract_z
K1 K 0.000 0.000 0.000
Ni1 Ni 0.500 0.500 0.500
P1 P 0.750 0.750 0.750
```

---

It is found that the total magnetic moment values, taken in the order of the records, are 0.00, 0.00, 0.55, 0.74, 0.00, 1.68 μB per formula unit.